First-principles (PBE) data for CoHg2P after structural relaxation, as listed in the Alexandria database.

Cell and atoms, written as POSCAR:
```
CoHg2P
1.0
-0.013 -2.041 6.046
-1.849 -3.846 4.744
3.017 -3.525 0.634
Co Hg P
1 2 1
Direct
0.225 0.225 0.276 Co
0.938 0.938 0.062 Hg
0.751 0.751 0.749 Hg
0.586 0.586 0.414 P
```


First-principles (PBE) data for CoHgP after structural relaxation, as listed in the Alexandria database.

Cell and atoms, written as POSCAR:
```
CoHgP
1.0
-0.566 0.847 5.620
-2.780 -1.230 -0.094
4.940 -11.040 -1.673
Co Hg P
4 4 4
Direct
0.067 0.000 0.386 Co
0.067 0.500 0.886 Co
0.938 0.000 0.160 Co
0.938 0.500 0.660 Co
0.367 0.000 0.766 Hg
0.367 0.500 0.266 Hg
0.474 0.000 0.018 Hg
0.474 0.500 0.518 Hg
0.987 0.000 0.544 P
0.987 0.500 0.044 P
0.826 0.000 0.785 P
0.826 0.500 0.285 P
```

Computed properties:
* excess energy over the best structure of this formula in the dataset: 40.4 meV/atom


First-principles (PBE) data for Co2HgP after structural relaxation, as listed in the Alexandria database.

Cell and atoms, written as POSCAR:
```
Co2HgP
1.0
-4.239 0.368 0.837
-2.888 -0.435 -3.205
-2.553 -3.501 -0.157
Co Hg P
2 1 1
Direct
0.000 0.000 0.000 Co
0.250 0.250 0.250 Co
0.500 0.500 0.500 Hg
0.750 0.750 0.750 P
```

Computed properties:
* excess energy over the best structure of this formula in the dataset: 767.1 meV/atom


One value per record, in order, for energy of formation from the pure elements: 0.193 -0.059 0.661 eV/atom.